Record 1
16
Lattice="3.2688 -4.5743 0.0000 3.2688 4.5743 0.0000 -2.5847 0.0000 6.6352" Properties=species:S:1:pos:R:3 comment="PBE-GGA AcBePdO5, optimized geometry" dft_energy_ev_per_cell=-104.28 dos_at_fermi_per_ev_cell=9.57 formation_energy_uncorrected_ev_per_atom=-1.790 pbc="T T T"
Ac 1.3303 3.2065 4.9764
Ac 2.6226 -3.2065 1.6588
Be 2.6226 2.7348 1.6588
Be 1.3303 -2.7348 4.9764
Pd 3.2688 0.0000 0.0000
Pd 1.9764 0.0000 3.3176
O -1.2027 0.7354 6.1058
O 1.5992 1.8847 2.5878
O 0.0897 -0.7354 2.7882
O 3.6460 1.8847 0.7298
O 1.3303 0.7352 4.9764
O 2.6226 -0.7352 1.6588
O 0.3068 -1.8847 5.9054
O 3.8632 0.7354 3.8470
O 2.3537 -1.8847 4.0474
O 5.1555 -0.7354 0.5294

=====

Record 2
12
Lattice="7.1556 0.0000 0.0000 0.0000 2.8341 0.0000 -0.2857 0.0000 5.7168" Properties=species:S:1:pos:R:3 comment="PBE-GGA OsC2, optimized geometry" dft_energy_ev_per_cell=-106.52 dos_at_fermi_per_ev_cell=2.47 formation_enthalpy_0k_ev_per_fu=3.047 de_polymorph_ev_per_fu=1.36 pbc="T T T"
Os 0.0000 0.0000 0.0000
Os 1.5969 1.4170 3.2509
Os 3.5778 1.4170 0.0000
Os 5.1747 0.0000 3.2509
C 1.3246 0.0000 1.6070
C 1.1594 1.4170 5.1715
C 2.7534 0.0000 1.3783
C 3.1113 0.0000 2.7972
C 4.9024 1.4170 1.6070
C 4.7372 0.0000 5.1715
C 6.3312 1.4170 1.3783
C 6.6891 1.4170 2.7972

=====

Record 3
12
Lattice="3.0944 -5.3552 0.0000 3.0944 5.3552 0.0000 -2.0515 0.0000 11.6443" Properties=species:S:1:pos:R:3 comment="PBE-GGA Pm3Dy6Y2Tm, optimized geometry" dft_energy_ev_per_cell=-59.04 dos_at_fermi_per_ev_cell=16.33 formation_enthalpy_0k_ev_per_fu=0.222 pbc="T T T"
Pm 0.0000 0.0000 0.0000
Pm 3.0944 1.7854 0.0000
Pm 3.0944 -1.7854 0.0000
Dy 1.0368 1.7796 2.9442
Dy 0.0159 0.0000 8.7024
Dy 1.0368 -1.7796 2.9442
Dy 3.1004 1.7796 8.7001
Dy 4.1213 0.0000 2.9419
Dy 3.1004 -1.7796 8.7001
Y 2.0686 3.5710 5.8222
Y 2.0686 -3.5710 5.8222
Tm 2.0686 0.0000 5.8222

=====

Record 4
5
Lattice="4.8055 0.0000 0.0000 0.0000 4.8055 0.0000 0.0000 0.0000 4.8631" Properties=species:S:1:pos:R:3 comment="PBE-GGA Ag2SnIO, optimized geometry" dft_energy_ev_per_cell=-16.41 dos_at_fermi_per_ev_cell=2.98 formation_energy_uncorrected_ev_per_atom=-0.040 pbc="T T T"
Ag 0.0000 2.4027 0.0000
Ag 2.4027 0.0000 0.0000
Sn 0.0000 0.0000 2.4315
I 2.4027 2.4027 2.4315
O 0.0000 0.0000 0.0000